Entry from Alexandria via LeMat-Bulk: a relaxed Ni3W4 crystal (PBE).

Energy, eV for the cell shown: -67.96
Magnetization, μB/atom: 0.000
Offset from the most stable computed form, meV per atom: 114.6
Energy relative to the elements, eV/atom: 0.17
ρ, Mg/m³: 15.38

a b c (Å): 9.965 9.965 9.965
angles (deg): 161.61 161.61 26.12
Fractional positions:
Ni: 0.000 0.000 0.000
Ni: 0.282 0.282 0.000
Ni: 0.718 0.718 0.000
W: 0.150 0.150 0.000
W: 0.428 0.428 0.000
W: 0.572 0.572 0.000
W: 0.850 0.850 0.000

---

Entry from Alexandria via LeMat-Bulk: a relaxed Ni2W crystal (PBE).

Energy, eV for the cell shown: -48.78
Magnetization, μB/atom: 0.000
Energy relative to the elements, eV/atom: 0.04
ρ, Mg/m³: 13.29

a b c (Å): 4.857 4.857 6.441
angles (deg): 108.79 108.79 31.72
Fractional positions:
Ni: 0.036 0.036 0.263
Ni: 0.352 0.352 0.965
Ni: 0.648 0.648 0.035
Ni: 0.964 0.964 0.737
W: 0.329 0.329 0.368
W: 0.671 0.671 0.632

---

Entry from Alexandria via LeMat-Bulk: a relaxed NiW2 crystal (PBE).

Energy, eV for the cell shown: -62.88
Magnetization, μB/atom: 0.000
Offset from the most stable computed form, meV per atom: 0.0
Energy relative to the elements, eV/atom: 0.08
ρ, Mg/m³: 16.43

a b c (Å): 4.874 4.874 4.874
angles (deg): 103.85 103.85 121.42
Fractional positions:
Ni: 0.250 0.250 0.000
Ni: 0.750 0.750 0.000
W: 0.157 0.657 0.814
W: 0.343 0.157 0.500
W: 0.657 0.843 0.500
W: 0.843 0.343 0.186

---

Entry from Alexandria via LeMat-Bulk: a relaxed Ni2W crystal (PBE).

Energy, eV for the cell shown: -97.99
Magnetization, μB/atom: 0.000
Energy relative to the elements, eV/atom: 0.01
ρ, Mg/m³: 13.27

a b c (Å): 5.382 3.520 7.962
angles (deg): 90.00 90.00 90.00
Fractional positions:
Ni: 0.120 0.250 0.084
Ni: 0.128 0.250 0.746
Ni: 0.372 0.750 0.246
Ni: 0.380 0.750 0.584
Ni: 0.620 0.250 0.416
Ni: 0.628 0.250 0.754
Ni: 0.872 0.750 0.254
Ni: 0.880 0.750 0.916
W: 0.136 0.250 0.414
W: 0.364 0.750 0.914
W: 0.636 0.250 0.086
W: 0.864 0.750 0.586

---

Entry from Alexandria via LeMat-Bulk: a relaxed NiW2 crystal (PBE).

Energy, eV for the cell shown: -62.43
Magnetization, μB/atom: 0.000
Offset from the most stable computed form, meV per atom: 74.6
Energy relative to the elements, eV/atom: 0.16
ρ, Mg/m³: 16.27

a b c (Å): 5.358 5.358 6.592
angles (deg): 104.35 104.35 28.42
Fractional positions:
Ni: 0.027 0.027 0.313
Ni: 0.973 0.973 0.687
W: 0.316 0.316 0.367
W: 0.368 0.368 0.972
W: 0.632 0.632 0.028
W: 0.684 0.684 0.633

---

Entry from Alexandria via LeMat-Bulk: a relaxed NiW3 crystal (PBE).

Energy, eV for the cell shown: -43.89
Magnetization, μB/atom: 0.000
Energy relative to the elements, eV/atom: 0.19
ρ, Mg/m³: 16.77

a b c (Å): 5.181 5.181 5.181
angles (deg): 117.09 117.09 117.09
Fractional positions:
Ni: 0.000 0.000 0.000
W: 0.000 0.500 0.500
W: 0.500 0.000 0.500
W: 0.500 0.500 0.000

---

Entry from Alexandria via LeMat-Bulk: a relaxed Ni7W crystal (PBE).

Energy, eV for the cell shown: -53.59
Magnetization, μB/atom: 0.000
Offset from the most stable computed form, meV per atom: 0.0
Energy relative to the elements, eV/atom: -0.02
ρ, Mg/m³: 10.80

a b c (Å): 5.072 5.072 4.106
angles (deg): 90.00 90.00 120.00
Fractional positions:
Ni: 0.000 0.000 0.000
Ni: 0.330 0.165 0.500
Ni: 0.503 0.005 0.000
Ni: 0.503 0.497 0.000
Ni: 0.835 0.165 0.500
Ni: 0.835 0.670 0.500
Ni: 0.995 0.497 0.000
W: 0.333 0.667 0.500

---

Entry from Alexandria via LeMat-Bulk: a relaxed NiW2 crystal (PBE).

Energy, eV for the cell shown: -58.83
Magnetization, μB/atom: 0.000
Offset from the most stable computed form, meV per atom: 674.0
Energy relative to the elements, eV/atom: 0.76
ρ, Mg/m³: 14.46

a b c (Å): 5.174 5.174 5.174
angles (deg): 60.00 60.00 60.00
Fractional positions:
Ni: 0.125 0.125 0.125
Ni: 0.875 0.875 0.875
W: 0.000 0.500 0.500
W: 0.500 0.000 0.500
W: 0.500 0.500 0.000
W: 0.500 0.500 0.500

---

Entry from Alexandria via LeMat-Bulk: a relaxed Ni2W crystal (PBE).

Energy, eV for the cell shown: -68.68
Magnetization, μB/atom: 0.000
Energy relative to the elements, eV/atom: 0.54
ρ, Mg/m³: 12.07

a b c (Å): 6.151 6.151 3.794
angles (deg): 90.00 90.00 120.00
Fractional positions:
Ni: 0.000 0.246 0.000
Ni: 0.000 0.598 0.500
Ni: 0.246 0.000 0.000
Ni: 0.402 0.402 0.500
Ni: 0.598 0.000 0.500
Ni: 0.754 0.754 0.000
W: 0.000 0.000 0.500
W: 0.333 0.667 0.000
W: 0.667 0.333 0.000

---

Entry from Alexandria via LeMat-Bulk: a relaxed NiW2 crystal (PBE).

Energy, eV for the cell shown: -114.99
Magnetization, μB/atom: 0.000
Offset from the most stable computed form, meV per atom: 896.9
Energy relative to the elements, eV/atom: 0.98
ρ, Mg/m³: 14.63

a b c (Å): 5.785 5.785 5.785
angles (deg): 90.00 90.00 90.00
Fractional positions:
Ni: 0.000 0.000 0.000
Ni: 0.000 0.500 0.500
Ni: 0.500 0.000 0.500
Ni: 0.500 0.500 0.000
W: 0.127 0.627 0.873
W: 0.127 0.873 0.373
W: 0.373 0.127 0.873
W: 0.373 0.373 0.373
W: 0.627 0.627 0.627
W: 0.627 0.873 0.127
W: 0.873 0.127 0.627
W: 0.873 0.373 0.127

---

Entry from Alexandria via LeMat-Bulk: a relaxed NiW3 crystal (PBE).

Energy, eV for the cell shown: -43.47
Magnetization, μB/atom: 0.000
Energy relative to the elements, eV/atom: 0.29
ρ, Mg/m³: 16.65

a b c (Å): 2.643 4.565 5.043
angles (deg): 90.00 90.00 90.00
Fractional positions:
Ni: 0.000 0.000 0.000
W: 0.000 0.500 0.319
W: 0.500 0.000 0.526
W: 0.500 0.500 0.831

---

Entry from Alexandria via LeMat-Bulk: a relaxed Ni3W2 crystal (PBE).

Energy, eV for the cell shown: -42.28
Magnetization, μB/atom: 0.000
Offset from the most stable computed form, meV per atom: 83.2
Energy relative to the elements, eV/atom: 0.19
ρ, Mg/m³: 13.57

a b c (Å): 10.790 10.790 10.790
angles (deg): 14.28 14.28 14.28
Fractional positions:
Ni: 0.000 0.000 0.000
Ni: 0.198 0.198 0.198
Ni: 0.802 0.802 0.802
W: 0.402 0.402 0.402
W: 0.598 0.598 0.598